(1)
Below is an optimized crystal structure of LaTe3C, with properties calculated at the PBE level.

Cell lengths 4.958, 4.958, 4.958 Å; angles 90.00, 90.00, 90.00 degrees
Atoms (fractional coordinates):
La1 0.000 0.000 0.000
Te1 0.000 0.500 0.500
Te2 0.500 0.000 0.500
Te3 0.500 0.500 0.000
C1 0.500 0.500 0.500

Properties
Its uncorrected formation energy is 0.08 eV per atom. As for the crystal system: cubic.

(2)
Below is an optimized crystal structure of Ca2Tl12Pb5, with properties calculated at the PBE level.

Cell lengths 10.367, 10.367, 6.017 Å; angles 101.08, 101.08, 68.75 degrees
Atoms (fractional coordinates):
Ca1 0.246 0.754 0.000
Ca2 0.754 0.246 0.000
Tl1 0.048 0.551 0.802
Tl2 0.112 0.112 0.027
Tl3 0.149 0.646 0.402
Tl4 0.354 0.851 0.598
Tl5 0.441 0.441 0.714
Tl6 0.449 0.952 0.198
Tl7 0.551 0.048 0.802
Tl8 0.559 0.559 0.286
Tl9 0.646 0.149 0.402
Tl10 0.851 0.354 0.598
Tl11 0.888 0.888 0.973
Tl12 0.952 0.449 0.198
Pb1 0.000 0.000 0.500
Pb2 0.217 0.217 0.576
Pb3 0.327 0.327 0.140
Pb4 0.673 0.673 0.860
Pb5 0.783 0.783 0.424

Properties
As for the crystal system: monoclinic. As for the energy relative to the elements: -0.054 eV per atom.

(3)
Below is an optimized crystal structure of BaAs2Cl, with properties calculated at the PBE level.

Cell lengths 7.074, 7.074, 7.074 Å; angles 145.90, 145.90, 48.99 degrees
Atoms (fractional coordinates):
Ba1 0.000 0.000 0.000
As1 0.250 0.750 0.500
As2 0.750 0.250 0.500
Cl1 0.500 0.500 0.000

Properties
Its uncorrected formation energy is -0.87 eV per atom. As for the crystal system: tetragonal.

Number 1: energy above the most stable polymorph in this dataset 0 meV per atom. Number 2: energy above the most stable polymorph in this dataset 13 meV per atom. Number 3: energy above the most stable polymorph in this dataset 192 meV per atom.